1.
Below is a relaxed BaAs2IrRh crystal, with properties calculated at the PBE-GGA level.

Output
Crystal system: tetragonal
E (eV per atom): -6.2243
Space group: I-4m2 (119)
Calculated volume (A^3/atom): 21.849

a = 4.098 Å, b = 4.098 Å, c = 7.121 Å
α = 106.72°, β = 106.72°, γ = 90.00°
Atoms (fractional coordinates):
Ir1 0.250 0.750 0.500
As1 0.357 0.357 0.715
As2 0.643 0.643 0.285
Rh1 0.750 0.250 0.500
Ba1 0.000 0.000 0.000


2.
Below is a relaxed FeHOs2Pt crystal, with properties calculated at the PBE-GGA level.

Output
Crystal system: tetragonal
E (eV per atom): -7.8434
Space group: P4/mmm (123)
Calculated volume (A^3/atom): 11.639

a = 3.882 Å, b = 3.882 Å, c = 3.862 Å
α = 90.00°, β = 90.00°, γ = 90.00°
Atoms (fractional coordinates):
Os1 0.000 0.500 0.000
Os2 0.500 0.000 0.000
H1 0.000 0.000 0.000
Fe1 0.000 0.000 0.500
Pt1 0.500 0.500 0.500


3.
Below is a relaxed Tm3MgCd12 crystal, with properties calculated at the PBE-GGA level.

Output
Crystal system: tetragonal
E (eV per atom): -1.8134
Space group: P4/mmm (123)
Calculated volume (A^3/atom): 23.134

a = 4.553 Å, b = 4.553 Å, c = 17.855 Å
α = 90.00°, β = 90.00°, γ = 90.00°
Atoms (fractional coordinates):
Mg1 0.000 0.000 0.000
Cd1 0.500 0.500 0.759
Cd2 0.000 0.500 0.628
Cd3 0.000 0.500 0.883
Cd4 0.500 0.000 0.628
Cd5 0.500 0.000 0.117
Cd6 0.500 0.000 0.883
Cd7 0.500 0.500 0.241
Cd8 0.000 0.500 0.117
Cd9 0.500 0.500 0.500
Cd10 0.500 0.000 0.372
Cd11 0.500 0.500 0.000
Cd12 0.000 0.500 0.372
Tm1 0.000 0.000 0.759
Tm2 0.000 0.000 0.500
Tm3 0.000 0.000 0.241


4.
Below is a relaxed Hf2AgOsS crystal, with properties calculated at the PBE-GGA level.

Output
Crystal system: tetragonal
Relative energy among the computed polymorphs (meV per atom): 1212.9
E (eV per atom): -6.0945
Space group: P4/mmm (123)
Calculated volume (A^3/atom): 22.589
ΔE_f (raw) (eV per atom): 1.529

a = 5.118 Å, b = 4.311 Å, c = 5.118 Å
α = 90.00°, β = 90.00°, γ = 90.00°
Atoms (fractional coordinates):
Ag1 0.000 0.000 0.000
S1 0.000 0.500 0.000
Os1 0.500 0.500 0.500
Hf1 0.500 0.000 0.000
Hf2 0.000 0.000 0.500


5.
Below is a relaxed RbTbPuBr6 crystal, with properties calculated at the PBE-GGA level.

Output
Crystal system: trigonal
E (eV per atom): -5.0477
Space group: P-31c (163)
Calculated volume (A^3/atom): 41.667
ΔE_f (raw) (eV per atom): -1.718

a = 7.534 Å, b = 7.534 Å, c = 15.256 Å
α = 90.00°, β = 90.00°, γ = 120.00°
Atoms (fractional coordinates):
Tb1 0.333 0.667 0.750
Tb2 0.667 0.333 0.250
Br1 0.985 0.361 0.141
Br2 0.015 0.639 0.859
Br3 0.376 0.361 0.359
Br4 0.639 0.015 0.359
Br5 0.624 0.985 0.859
Br6 0.624 0.639 0.641
Br7 0.639 0.624 0.141
Br8 0.015 0.376 0.641
Br9 0.985 0.624 0.359
Br10 0.361 0.376 0.859
Br11 0.376 0.015 0.141
Br12 0.361 0.985 0.641
Rb1 0.000 0.000 0.000
Rb2 0.000 0.000 0.500
Pu1 0.667 0.333 0.750
Pu2 0.333 0.667 0.250


6.
Below is a relaxed ZnCr2Rh crystal, with properties calculated at the PBE-GGA level.

Output
Crystal system: orthorhombic
E (eV per atom): -6.8935
Space group: Cmm2 (35)
Calculated volume (A^3/atom): 13.092

a = 2.629 Å, b = 2.629 Å, c = 8.207 Å
α = 90.00°, β = 90.00°, γ = 112.59°
Atoms (fractional coordinates):
Rh1 0.000 0.000 0.489
Cr1 0.000 0.000 0.021
Cr2 0.500 0.500 0.235
Zn1 0.500 0.500 0.755